No. 1
! ScAlIr2 | the Alexandria database | PBE | relaxed; values from VASP
&SYSTEM
  ibrav = 0, nat = 8, ntyp = 3
/
ATOMIC_SPECIES
Sc 44.96 Sc.upf
Al 26.98 Al.upf
Ir 192.22 Ir.upf
CELL_PARAMETERS angstrom
-3.4613 3.4613 2.8545
3.4613 -3.4613 2.8545
3.4613 3.4613 -2.8545
ATOMIC_POSITIONS angstrom
Sc 0.0000 0.0000 0.0000
Sc 0.0000 3.4613 1.4272
Al 3.4613 0.0000 1.4272
Al 0.0000 0.0000 2.8545
Ir 1.7306 -1.5047 2.1409
Ir 1.9566 1.7306 0.7136
Ir 1.7306 4.9660 -0.7136
Ir 1.5047 1.7306 3.5681
! Space-group type: No. 122
! Formation energy from the elements in eV per atom: -0.33
! DOS at the Fermi energy in states/eV per atom: 0.20

***

No. 2
! Sc3AlIr | the Alexandria database | PBE | relaxed; values from VASP
&SYSTEM
  ibrav = 0, nat = 5, ntyp = 3
/
ATOMIC_SPECIES
Sc 44.96 Sc.upf
Al 26.98 Al.upf
Ir 192.22 Ir.upf
CELL_PARAMETERS angstrom
4.9389 0.0000 0.0000
0.0000 4.9389 0.0000
0.0000 0.0000 4.9389
ATOMIC_POSITIONS angstrom
Sc 0.0000 0.0000 2.4694
Sc 0.0000 2.4694 0.0000
Sc 2.4694 0.0000 0.0000
Al 0.0000 0.0000 0.0000
Ir 2.4694 2.4694 2.4694
! Space-group type: No. 221
! Formation energy from the elements in eV per atom: 0.70
! DOS at the Fermi energy in states/eV per atom: 1.71

***

No. 3
! ScAlIr | the Alexandria database | PBE | relaxed; values from VASP
&SYSTEM
  ibrav = 0, nat = 3, ntyp = 3
/
ATOMIC_SPECIES
Sc 44.96 Sc.upf
Al 26.98 Al.upf
Ir 192.22 Ir.upf
CELL_PARAMETERS angstrom
-1.5243 1.5243 5.4377
1.5243 -1.5243 5.4377
1.5243 1.5243 -5.4377
ATOMIC_POSITIONS angstrom
Sc 0.0000 0.0000 0.0000
Al 0.0000 0.0000 7.6592
Ir 0.0000 0.0000 3.6370
! Space-group type: No. 107
! Formation energy from the elements in eV per atom: -0.80
! DOS at the Fermi energy in states/eV per atom: 0.31

***

No. 4
! ScAlIr2 | the Alexandria database | PBE | relaxed; values from VASP
&SYSTEM
  ibrav = 0, nat = 4, ntyp = 3
/
ATOMIC_SPECIES
Sc 44.96 Sc.upf
Al 26.98 Al.upf
Ir 192.22 Ir.upf
CELL_PARAMETERS angstrom
4.3237 -1.4955 0.0000
4.3237 1.4955 0.0000
-1.2011 0.0000 4.8876
ATOMIC_POSITIONS angstrom
Sc 0.0000 0.0000 0.0000
Al 3.7232 0.0000 2.4438
Ir 1.2272 0.0000 3.5618
Ir 6.2191 0.0000 1.3258
! Space-group type: No. 12
! Formation energy from the elements in eV per atom: -0.63
! DOS at the Fermi energy in states/eV per atom: 0.68

***

No. 5
! ScAlIr | the Alexandria database | PBE | relaxed; values from VASP
&SYSTEM
  ibrav = 0, nat = 3, ntyp = 3
/
ATOMIC_SPECIES
Sc 44.96 Sc.upf
Al 26.98 Al.upf
Ir 192.22 Ir.upf
CELL_PARAMETERS angstrom
0.0000 3.0792 3.0792
3.0792 0.0000 3.0792
3.0792 3.0792 0.0000
ATOMIC_POSITIONS angstrom
Sc 0.0000 0.0000 0.0000
Al 3.0792 3.0792 3.0792
Ir 1.5396 1.5396 1.5396
! Space-group type: No. 216
! Formation energy from the elements in eV per atom: -0.73
! DOS at the Fermi energy in states/eV per atom: 0.45

***

No. 6
! ScAlIr3 | the Alexandria database | PBE | relaxed; values from VASP
&SYSTEM
  ibrav = 0, nat = 5, ntyp = 3
/
ATOMIC_SPECIES
Sc 44.96 Sc.upf
Al 26.98 Al.upf
Ir 192.22 Ir.upf
CELL_PARAMETERS angstrom
4.6532 0.0000 0.0000
0.0000 4.6532 0.0000
0.0000 0.0000 4.6532
ATOMIC_POSITIONS angstrom
Sc 0.0000 0.0000 0.0000
Al 2.3266 2.3266 2.3266
Ir 0.0000 0.0000 2.3266
Ir 0.0000 2.3266 0.0000
Ir 2.3266 0.0000 0.0000
! Space-group type: No. 221
! Formation energy from the elements in eV per atom: 1.30
! DOS at the Fermi energy in states/eV per atom: 1.34